Below is an optimized crystal structure of CrPRuO2, with properties calculated at the GGA+U level.

Structure (CIF):
```
data_CrPRuO2
_chemical_formula_sum 'Cr1 P1 Ru1 O2'
_cell_length_a 3.7291
_cell_length_b 3.7291
_cell_length_c 5.3788
_cell_angle_alpha 90.00
_cell_angle_beta 90.00
_cell_angle_gamma 90.00
_symmetry_space_group_name_H-M 'P 4/m m m'
_symmetry_Int_Tables_number 123
_symmetry_space_group_name_Hall '-P 4 2'
loop_
_atom_site_label
_atom_site_type_symbol
_atom_site_fract_x
_atom_site_fract_y
_atom_site_fract_z
_atom_site_occupancy
Cr1 Cr 0.0000 0.0000 0.0000 1
P1 P 0.5000 0.5000 0.0000 1
Ru1 Ru 0.5000 0.5000 0.5000 1
O1 O 0.0000 0.5000 0.5000 1
```

Raw total energy ... -33.85 eV per cell
Calculated density ... 4.8 g cm⁻³
V ... 75 Å³/cell